An optimized crystal structure of LiNpGaPt, computed with PBE.

Cell: 4.6757 4.6757 4.6757 Å, 60.00 60.00 60.00°
Positions (direct):
Li 0.0000 0.0000 0.0000
Np 0.2500 0.2500 0.2500
Ga 0.7500 0.7500 0.7500
Pt 0.5000 0.5000 0.5000

Properties
Total energy in eV/atom: -6.30
Calculated formation energy in eV per atom: -0.3210